(1)
This record from the Alexandria database describes FeTe2Os after structural relaxation. The functional is GGA-PBE.

a = 9.8871 Å, b = 9.8871 Å, c = 9.8871 Å
α = 18.86°, β = 18.86°, γ = 18.86°
Closest atoms and distances in Å follow each position.
Element x y z (fractional)
Te (0.2211, 0.2211, 0.2211)  3 Fe 2.66
Te (0.0272, 0.0272, 0.0272)  3 Os 2.74
Fe (0.4893, 0.4893, 0.4893)  3 Os 2.56, 3 Te 2.66
Os (0.7625, 0.7625, 0.7625)  3 Fe 2.56, 3 Te 2.74

Crystal system   trigonal
Energy above the lowest structure with this stoichiometry   319 meV per atom

(2)
This record from the Alexandria database describes CsBe2Mo after structural relaxation. The functional is GGA-PBE.

a = 4.6574 Å, b = 4.6574 Å, c = 4.6574 Å
α = 60.00°, β = 60.00°, γ = 60.00°
Closest atoms and distances in Å follow each position.
Element x y z (fractional)
Mo (0.0000, 0.0000, 0.0000)  8 Be 2.85
Be (0.2500, 0.2500, 0.2500)  4 Mo 2.85, 4 Cs 2.85
Be (0.7500, 0.7500, 0.7500)  4 Mo 2.85, 4 Cs 2.85
Cs (0.5000, 0.5000, 0.5000)  8 Be 2.85

Crystal system   cubic
VASP energy   -2.821 eV per atom

(3)
This record from the Alexandria database describes Mn2Pd9Se after structural relaxation. The functional is GGA-PBE.

a = 3.9215 Å, b = 3.9215 Å, c = 12.0362 Å
α = 90.00°, β = 90.00°, γ = 90.00°
Closest atoms and distances in Å follow each position.
Element x y z (fractional)
Mn (0.0000, 0.0000, 0.6627)  12 Pd 2.77-2.78
Mn (0.0000, 0.0000, 0.3373)  12 Pd 2.77-2.78
Se (0.0000, 0.0000, 0.0000)  12 Pd 2.77-2.87
Pd (0.0000, 0.5000, 0.5000)  4 Mn 2.77, 8 Pd 2.77-2.78
Pd (0.0000, 0.5000, 0.1739)  8 Pd 2.77-2.87, 2 Mn 2.78, 2 Se 2.87
Pd (0.5000, 0.5000, 0.6634)  8 Pd 2.77-2.78, 4 Mn 2.77
Pd (0.5000, 0.0000, 0.1739)  8 Pd 2.77-2.87, 2 Mn 2.78, 2 Se 2.87
Pd (0.5000, 0.5000, 0.3366)  8 Pd 2.77-2.78, 4 Mn 2.77
Pd (0.5000, 0.0000, 0.5000)  4 Mn 2.77, 8 Pd 2.77-2.78
Pd (0.0000, 0.5000, 0.8261)  8 Pd 2.77-2.87, 2 Mn 2.78, 2 Se 2.87
Pd (0.5000, 0.5000, 0.0000)  4 Se 2.77, 8 Pd 2.87
Pd (0.5000, 0.0000, 0.8261)  8 Pd 2.77-2.87, 2 Mn 2.78, 2 Se 2.87

Crystal system   tetragonal
VASP energy   -5.864 eV per atom

(4)
This record from the Alexandria database describes RbSb4S8 after structural relaxation. The functional is GGA-PBE.

a = 8.1461 Å, b = 8.1461 Å, c = 8.1461 Å
α = 60.00°, β = 60.00°, γ = 60.00°
Closest atoms and distances in Å follow each position.
Element x y z (fractional)
S (0.1342, 0.5973, 0.1342)  3 Sb 2.73
S (0.6032, 0.6032, 0.6032)  3 Sb 2.70, 1 Rb 2.93
S (0.5973, 0.1342, 0.1342)  3 Sb 2.73
S (0.1342, 0.1342, 0.1342)  3 Sb 2.73
S (0.1905, 0.6032, 0.6032)  3 Sb 2.70, 1 Rb 2.93
S (0.6032, 0.6032, 0.1905)  3 Sb 2.70, 1 Rb 2.93
S (0.1342, 0.1342, 0.5973)  3 Sb 2.73
S (0.6032, 0.1905, 0.6032)  3 Sb 2.70, 1 Rb 2.93
Sb (0.3713, 0.3713, 0.3713)  6 S 2.70-2.73
Sb (0.3713, 0.3713, 0.8861)  6 S 2.70-2.73
Sb (0.3713, 0.8861, 0.3713)  6 S 2.70-2.73
Sb (0.8861, 0.3713, 0.3713)  6 S 2.70-2.73
Rb (0.7500, 0.7500, 0.7500)  4 S 2.93

Crystal system   cubic
VASP energy   -4.029 eV per atom

(5)
This record from the Alexandria database describes Ti4AlTc after structural relaxation. The functional is GGA-PBE.

a = 4.4270 Å, b = 5.2622 Å, c = 5.3164 Å
α = 94.60°, β = 114.60°, γ = 114.87°
Closest atoms and distances in Å follow each position.
Element x y z (fractional)
Ti (0.1501, 0.9520, 0.8483)  1 Tc 2.48, 2 Ti 2.62
Ti (0.3400, 0.4859, 0.6941)  2 Tc 2.65, 6 Ti 2.80-2.93, 1 Al 2.89
Ti (0.6600, 0.5141, 0.3059)  2 Tc 2.65, 6 Ti 2.80-2.93, 1 Al 2.89
Ti (0.8499, 0.0480, 0.1517)  1 Tc 2.48, 2 Ti 2.62
Al (0.5000, 0.0000, 0.5000)  2 Tc 2.82, 12 Ti 2.83-3.13
Tc (0.0000, 0.5000, 0.0000)  6 Ti 2.48-2.65

Crystal system   monoclinic
Energy above the lowest structure with this stoichiometry   0 meV per atom

(6)
This record from the Alexandria database describes AgSbRh after structural relaxation. The functional is GGA-PBE.

a = 4.4390 Å, b = 4.4390 Å, c = 4.4390 Å
α = 60.00°, β = 60.00°, γ = 60.00°
Closest atoms and distances in Å follow each position.
Element x y z (fractional)
Ag (0.0000, 0.0000, 0.0000)  4 Sb 2.72
Rh (0.5000, 0.5000, 0.5000)  4 Sb 2.72
Sb (0.2500, 0.2500, 0.2500)  4 Rh 2.72, 4 Ag 2.72

Crystal system   cubic
Energy above the lowest structure with this stoichiometry   189 meV per atom

| no. | total moment (μB/atom) | N(E_F) (states/eV per atom) |
| --- | --- | --- |
| 1 | 0.700 | 0.892 |
| 2 | 0.000 | 0.658 |
| 3 | 0.814 | 1.203 |
| 4 | 0.000 | 0.843 |
| 5 | 0.000 | 1.184 |
| 6 | 0.000 | 1.211 |